An optimized crystal structure of SrFeOs, computed with PBE.

Properties
- Calculated density: 8.79 g cm⁻³
- DOS at the Fermi energy: 5.897 states/eV per cell
- Calculated total energy: -6.80 eV/atom
- Formation enthalpy at 0 K: 330 meV per atom
- Polymorph energy (0 for the lowest one): 0.139 eV per formula unit

Cell: 5.0110 4.3598 5.8929 Å, 90.00 101.77 90.00°
Space group Pm (No. 6)
One atom of each set of equivalent atoms:
Sr 0.0000 0.0000 0.0000
Sr 0.4865 0.5000 0.8540
Fe 0.1276 0.0000 0.4987
Fe 0.8843 0.5000 0.4434
Os 0.3410 0.5000 0.3513
Os 0.6095 0.0000 0.4063

An optimized crystal structure of BeCuTc2, computed with PBE.

Properties
- Calculated density: 8.89 g cm⁻³
- DOS at the Fermi energy: 3.332 states/eV per cell
- Calculated total energy: -7.05 eV/atom
- Formation enthalpy at 0 K: 86 meV per atom

Cell: 2.7278 3.8339 4.9789 Å, 90.00 105.64 90.00°
Space group Pm (No. 6)
One atom of each set of equivalent atoms:
Be 0.0000 0.0000 0.0000
Cu 0.1064 0.5000 0.2291
Tc 0.3818 0.5000 0.7625
Tc 0.7366 0.0000 0.4920

An optimized crystal structure of Li2CdOs, computed with PBE.

Properties
- Calculated density: 8.01 g cm⁻³
- DOS at the Fermi energy: 3.355 states/eV per cell
- Calculated total energy: -3.75 eV/atom
- Formation enthalpy at 0 K: 246 meV per atom

Cell: 2.9155 4.6309 9.7164 Å, 90.00 90.00 90.00°
Space group Cmm2 (No. 35)
One atom of each set of equivalent atoms:
Li 0.0000 0.0000 0.0000
Li 0.0000 0.5000 0.2670
Cd 0.0000 0.5000 0.7499
Os 0.0000 0.0000 0.4906

An optimized crystal structure of RhC2, computed with PBE.

Properties
- Calculated density: 5.92 g cm⁻³
- DOS at the Fermi energy: 1.939 states/eV per cell
- Calculated total energy: -6.40 eV/atom
- Formation enthalpy at 0 K: 2197 meV per atom
- Polymorph energy (0 for the lowest one): 5.208 eV per formula unit

Cell: 3.0095 3.0095 3.9282 Å, 90.00 90.00 90.00°
Space group P4/mmm (No. 123)
One atom of each set of equivalent atoms:
Rh 0.0000 0.0000 0.0000
C 0.0000 0.0000 0.5000
C 0.5000 0.5000 0.0000

An optimized crystal structure of HfTiInTc, computed with PBE.

Properties
- Calculated density: 10.00 g cm⁻³
- DOS at the Fermi energy: 8.814 states/eV per cell
- Calculated total energy: -7.92 eV/atom
- Formation enthalpy at 0 K: -179 meV per atom

Cell: 6.6318 6.6318 6.6318 Å, 90.00 90.00 90.00°
Space group F-43m (No. 216)
One atom of each set of equivalent atoms:
Hf 0.0000 0.0000 0.0000
Ti 0.0000 0.0000 0.5000
In 0.2500 0.2500 0.7500
Tc 0.2500 0.2500 0.2500

An optimized crystal structure of Ag2Au2S, computed with PBE.

Properties
- Calculated density: 11.10 g cm⁻³
- DOS at the Fermi energy: 0.742 states/eV per cell
- Calculated total energy: -3.11 eV/atom
- Polymorph energy (0 for the lowest one): 0.000 eV per formula unit

Cell: 6.8020 6.8020 4.1483 Å, 90.00 90.00 90.00°
Space group P4/mbm (No. 127)
One atom of each set of equivalent atoms:
Ag 0.1520 0.3480 0.0000
Au 0.1488 0.6488 0.5000
S 0.0000 0.0000 0.5000

Number 1 is which compound? SrFeOs

Look up the calculated total energy of the second one. -7.05 eV/atom